LaAsBr (PBE-GGA, optimized geometry); space-group type = F-43m (216); distance to the lowest polymorph of the same formula = 21.2 kJ per mole of atoms; total magnetization = 1.00 μB per cell
1.0
-4.196 -0.765 2.822
-3.213 -3.802 -1.173
-0.326 -4.101 3.038
As Br La
1 1 1
direct
0.000 0.000 0.000
0.500 0.500 0.500
0.750 0.750 0.750

---

NaMnPdSe3 (PBE-GGA, optimized geometry); space-group type = P2_1/m (11); total magnetization = 5.55 μB per cell
1.0
3.715 0.000 0.000
0.000 7.684 -0.102
0.000 -2.102 8.820
Na Mn Pd Se
2 2 2 6
direct
0.250 0.200 0.264
0.750 0.800 0.736
0.250 0.671 0.160
0.750 0.329 0.840
0.250 0.110 0.587
0.750 0.890 0.413
0.750 0.879 0.126
0.250 0.121 0.874
0.250 0.690 0.436
0.750 0.310 0.564
0.750 0.438 0.131
0.250 0.562 0.869

---

HfAsAu2 (PBE-GGA, optimized geometry); space-group type = I-42d (122); formation energy from the elements = -260 meV/atom; total magnetization = 0.00 μB per cell
1.0
-1.391 6.800 -3.215
1.649 -2.914 -6.878
-2.478 1.252 -5.379
Hf As Au
2 2 4
direct
0.000 0.000 0.000
0.750 0.250 0.500
0.500 0.500 0.000
0.250 0.750 0.500
0.606 0.125 0.250
0.144 0.625 0.250
0.375 0.394 0.750
0.875 0.856 0.750

---

RbMnInSe3 (PBE-GGA, optimized geometry); space-group type = P2_1/m (11); total magnetization = 10.02 μB per cell
1.0
-0.782 -3.837 -1.205
2.054 -3.114 8.585
-9.925 2.137 -0.366
Rb Mn In Se
2 2 2 6
direct
0.250 0.213 0.247
0.750 0.787 0.753
0.250 0.090 0.612
0.750 0.910 0.388
0.250 0.661 0.115
0.750 0.339 0.885
0.750 0.868 0.131
0.250 0.132 0.869
0.250 0.802 0.472
0.750 0.198 0.528
0.750 0.480 0.163
0.250 0.520 0.837

---

PrDy3 (PBE-GGA, optimized geometry); space-group type = Imm2 (44); distance to the lowest polymorph of the same formula = 0.5 kJ per mole of atoms; formation energy from the elements = 22 meV/atom; total magnetization = 0.00 μB per cell
1.0
3.657 0.000 0.000
0.000 6.283 0.000
-1.829 -3.142 5.741
Pr Dy
1 3
direct
0.000 0.997 0.000
0.248 0.582 0.496
0.500 0.501 0.000
0.752 0.086 0.504

---

LiCuPO4 (PBE-GGA, optimized geometry); space-group type = P2_1/c (14); distance to the lowest polymorph of the same formula = 1.9 kJ per mole of atoms; total magnetization = 4.06 μB per cell
1.0
-9.044 -1.390 3.640
1.881 -2.939 3.551
2.698 2.589 7.692
Li Cu P O
4 4 4 16
direct
0.337 0.218 0.489
0.663 0.782 0.511
0.163 0.218 0.989
0.837 0.782 0.011
0.142 0.734 0.490
0.358 0.734 0.990
0.858 0.266 0.510
0.642 0.266 0.010
0.906 0.048 0.252
0.094 0.952 0.748
0.406 0.952 0.248
0.594 0.048 0.752
0.334 0.899 0.424
0.623 0.352 0.756
0.377 0.648 0.244
0.439 0.013 0.733
0.166 0.899 0.924
0.939 0.987 0.767
0.561 0.987 0.267
0.645 0.733 0.945
0.855 0.733 0.445
0.355 0.267 0.055
0.123 0.648 0.744
0.834 0.101 0.076
0.061 0.013 0.233
0.145 0.267 0.555
0.877 0.352 0.256
0.666 0.101 0.576

---

NdY2Zn3 (PBE-GGA, optimized geometry); space-group type = P4/mmm (123); formation energy from the elements = -336 meV/atom; total magnetization = 0.00 μB per cell
1.0
-1.598 -2.747 -1.714
1.823 0.817 -3.008
8.067 -6.623 3.091
Nd Y Zn
1 2 3
direct
0.500 0.500 0.500
0.500 0.500 0.836
0.500 0.500 0.164
0.000 0.000 0.000
0.000 0.000 0.678
0.000 0.000 0.322

---

NdPaC2 (PBE-GGA, optimized geometry); space-group type = R3m (160); distance to the lowest polymorph of the same formula = 12.8 kJ per mole of atoms; formation energy from the elements = -127 meV/atom; total magnetization = 0.00 μB per cell
1.0
3.642 0.000 0.000
1.821 3.154 0.000
1.821 1.051 6.095
Nd Pa C
1 1 2
direct
0.498 0.498 0.506
0.666 0.666 0.002
0.072 0.072 0.784
0.264 0.264 0.208

---

CaAgWN2 (PBE-GGA, optimized geometry); space-group type = P4/mmm (123); total magnetization = 0.00 μB per cell
1.0
4.031 0.000 0.000
0.000 4.031 0.000
0.000 0.000 5.201
Ca Ag W N
1 1 1 2
direct
0.500 0.500 0.500
0.000 0.000 0.500
0.000 0.000 0.000
0.000 0.500 0.000
0.500 0.000 0.000

---

CuHgCl2 (PBE-GGA, optimized geometry); space-group type = Pmmm (47); distance to the lowest polymorph of the same formula = 32.4 kJ per mole of atoms; total magnetization = 0.00 μB per cell
1.0
3.835 0.000 0.000
0.000 6.873 0.000
0.000 0.000 3.780
Hg Cu Cl
1 1 2
direct
0.000 0.500 0.500
0.500 0.000 0.500
0.000 0.000 0.000
0.500 0.500 0.000

---

RbCS2Cl (PBE-GGA, optimized geometry); space-group type = P4/mmm (123); distance to the lowest polymorph of the same formula = 165.1 kJ per mole of atoms; total magnetization = 3.01 μB per cell
1.0
6.670 0.000 0.000
0.000 6.670 0.000
0.000 0.000 6.227
S C Rb Cl
2 1 1 1
direct
0.000 0.500 0.000
0.500 0.000 0.000
0.500 0.500 0.500
0.000 0.000 0.000
0.000 0.000 0.500

---

BaMg2Te (PBE-GGA, optimized geometry); space-group type = P4/mmm (123); total magnetization = 0.00 μB per cell
1.0
-0.985 1.243 -4.586
3.690 -2.758 -1.540
-3.494 -4.425 -0.448
Ba Mg Te
1 2 1
direct
0.000 0.500 0.500
0.000 0.000 0.000
0.500 0.500 0.000
0.500 0.000 0.500

---

no.,density of states at the Fermi level (states/eV/f.u.),final energy (eV/f.u.)
1,4.1,-14.417
2,2.5,-29.282
3,3.4,-22.200
4,0.2,-27.528
5,6.9,-18.497
6,2.4,-43.754
7,7.1,-23.536
8,0.9,-33.221
9,2.4,-33.856
10,1.4,-8.232
11,11.6,-9.472
12,2.0,-10.220